1.
GdLu2Cu4Sn4, optimized geometry, DFT GGA-PBE; magnetization = 0.001 μB per cell; E_tot = -4.52 eV/atom
1.0
-2.201 3.492 7.294
2.201 -3.492 7.294
2.201 3.492 -7.294
Gd Lu Cu Sn
1 2 4 4
direct
0.000 0.000 0.000
0.370 0.870 0.500
0.630 0.130 0.500
0.019 0.329 0.690
0.360 0.671 0.690
0.640 0.329 0.310
0.981 0.671 0.310
0.218 0.218 0.000
0.299 0.500 0.799
0.701 0.500 0.201
0.782 0.782 0.000

2.
YGaFeTc, optimized geometry, DFT GGA-PBE; magnetization = 2.753 μB per cell; distance to the lowest polymorph of the same formula = 0.0 meV/atom
1.0
0.000 3.222 3.222
3.222 0.000 3.222
3.222 3.222 0.000
Y Ga Fe Tc
1 1 1 1
direct
0.000 0.000 0.000
0.500 0.500 0.500
0.750 0.750 0.750
0.250 0.250 0.250

3.
KGdRe, optimized geometry, DFT GGA-PBE; magnetization = 2.235 μB per cell; E_tot = -3.85 eV/atom
1.0
0.000 3.507 3.507
3.507 0.000 3.507
3.507 3.507 0.000
K Gd Re
1 1 1
direct
0.000 0.000 0.000
0.750 0.750 0.750
0.250 0.250 0.250

4.
TlPAuSeS2, optimized geometry, DFT GGA-PBE; E_tot = -4.06 eV/atom
1.0
6.224 -3.497 0.000
6.224 3.497 0.000
-3.744 0.000 7.175
Tl P Au Se S
2 2 2 2 4
direct
0.213 0.213 0.256
0.787 0.787 0.744
0.468 0.468 0.843
0.532 0.532 0.157
0.261 0.739 0.500
0.739 0.261 0.500
0.271 0.271 0.695
0.729 0.729 0.305
0.202 0.697 0.185
0.303 0.798 0.815
0.697 0.202 0.185
0.798 0.303 0.815

5.
Er2Te3, optimized geometry, DFT GGA-PBE; magnetization = 0.000 μB per cell; E_tot = -5.10 eV/atom
1.0
0.000 6.106 12.938
4.325 0.000 12.938
4.325 6.106 0.000
Er Te
8 12
direct
0.042 0.042 0.208
0.125 0.125 0.625
0.208 0.208 0.042
0.375 0.375 0.875
0.625 0.625 0.125
0.792 0.792 0.958
0.875 0.875 0.375
0.958 0.958 0.792
0.043 0.541 0.208
0.128 0.622 0.622
0.208 0.708 0.043
0.292 0.792 0.459
0.378 0.872 0.872
0.459 0.957 0.292
0.541 0.043 0.708
0.622 0.128 0.128
0.708 0.208 0.541
0.792 0.292 0.957
0.872 0.378 0.378
0.957 0.459 0.792

6.
PrScTl, optimized geometry, DFT GGA-PBE; magnetization = 0.436 μB per cell; distance to the lowest polymorph of the same formula = 0.0 meV/atom
1.0
8.249 0.000 0.000
0.000 4.794 0.000
0.000 0.000 8.614
Pr Sc Tl
4 4 4
direct
0.013 0.250 0.170
0.487 0.750 0.670
0.513 0.250 0.330
0.987 0.750 0.830
0.143 0.250 0.567
0.357 0.750 0.067
0.643 0.250 0.933
0.857 0.750 0.433
0.214 0.750 0.382
0.286 0.250 0.882
0.714 0.750 0.118
0.786 0.250 0.618

Please write out number 5 again, unchanged.
Er2Te3, optimized geometry, DFT GGA-PBE; magnetization = 0.000 μB per cell; E_tot = -5.10 eV/atom
1.0
0.000 6.106 12.938
4.325 0.000 12.938
4.325 6.106 0.000
Er Te
8 12
direct
0.042 0.042 0.208
0.125 0.125 0.625
0.208 0.208 0.042
0.375 0.375 0.875
0.625 0.625 0.125
0.792 0.792 0.958
0.875 0.875 0.375
0.958 0.958 0.792
0.043 0.541 0.208
0.128 0.622 0.622
0.208 0.708 0.043
0.292 0.792 0.459
0.378 0.872 0.872
0.459 0.957 0.292
0.541 0.043 0.708
0.622 0.128 0.128
0.708 0.208 0.541
0.792 0.292 0.957
0.872 0.378 0.378
0.957 0.459 0.792